[1]
The following is a PBE with a Hubbard U calculation of a geometry-optimized CsCoF3 structure, from the Alexandria database.

## Properties
For the energy, the calculation gives -0.3466 Ry/atom.

a = 6.285 Å, b = 6.285 Å, c = 8.468 Å
α = 68.21°, β = 68.21°, γ = 60.00°
Atoms (fractional coordinates):
1 F 0.298 0.726 0.679
2 F 0.702 0.702 0.321
3 F 0.000 0.500 0.000
4 F 0.500 0.000 0.000
5 F 0.726 0.298 0.679
6 F 0.500 0.500 0.000
7 F 0.274 0.702 0.321
8 F 0.298 0.298 0.679
9 F 0.702 0.274 0.321
10 Co 0.622 0.622 0.134
11 Co 0.500 0.500 0.500
12 Co 0.378 0.378 0.866
13 Cs 0.787 0.787 0.639
14 Cs 0.000 0.000 0.000
15 Cs 0.213 0.213 0.361

***

[2]
The following is a PBE with a Hubbard U calculation of a geometry-optimized CsCoF2 structure, from the Alexandria database.

## Properties
For the energy, the calculation gives -0.3141 Ry/atom. The energy above the most stable polymorph in this dataset comes out at 0.0 meV per atom.

a = 7.102 Å, b = 7.102 Å, c = 7.102 Å
α = 37.02°, β = 37.02°, γ = 37.02°
Atoms (fractional coordinates):
1 Co 0.000 0.000 0.000
2 F 0.092 0.092 0.092
3 F 0.908 0.908 0.908
4 Cs 0.500 0.500 0.500

***

[3]
The following is a PBE with a Hubbard U calculation of a geometry-optimized CsCoF4 structure, from the Alexandria database.

## Properties
For the energy, the calculation gives -0.3343 Ry/atom.

a = 5.091 Å, b = 6.771 Å, c = 7.577 Å
α = 111.96°, β = 109.16°, γ = 91.84°
Atoms (fractional coordinates):
1 Co 0.314 0.604 0.123
2 Co 0.686 0.396 0.877
3 F 0.477 0.114 0.751
4 F 0.951 0.693 0.022
5 F 0.523 0.886 0.249
6 F 0.049 0.307 0.978
7 F 0.303 0.614 0.364
8 F 0.697 0.386 0.636
9 F 0.654 0.456 0.143
10 F 0.346 0.544 0.857
11 Cs 0.932 0.826 0.659
12 Cs 0.068 0.174 0.341

***

[4]
The following is a PBE with a Hubbard U calculation of a geometry-optimized Cs2Co2F5 structure, from the Alexandria database.

## Properties
For the energy, the calculation gives -0.3250 Ry/atom.

a = 4.264 Å, b = 6.344 Å, c = 7.230 Å
α = 106.18°, β = 90.00°, γ = 109.64°
Atoms (fractional coordinates):
1 F 0.147 0.294 0.642
2 F 0.853 0.706 0.358
3 F 0.658 0.316 0.960
4 F 0.342 0.684 0.040
5 F 0.000 0.000 0.000
6 Cs 0.404 0.808 0.663
7 Cs 0.596 0.192 0.337
8 Co 0.157 0.314 0.930
9 Co 0.843 0.686 0.070

***

[5]
The following is a PBE with a Hubbard U calculation of a geometry-optimized Cs3CoF6 structure, from the Alexandria database.

## Properties
For the energy, the calculation gives -0.3195 Ry/atom.

a = 6.752 Å, b = 6.612 Å, c = 6.612 Å
α = 59.56°, β = 60.08°, γ = 60.08°
Atoms (fractional coordinates):
1 F 0.670 0.728 0.322
2 F 0.330 0.272 0.678
3 F 0.258 0.697 0.697
4 F 0.742 0.303 0.303
5 F 0.330 0.678 0.272
6 F 0.670 0.322 0.728
7 Cs 0.743 0.755 0.755
8 Cs 0.257 0.245 0.245
9 Cs 0.000 0.000 0.000
10 Co 0.500 0.500 0.500

***

[6]
The following is a PBE with a Hubbard U calculation of a geometry-optimized Cs2CoF structure, from the Alexandria database.

## Properties
For the energy, the calculation gives -0.1840 Ry/atom. The energy above the most stable polymorph in this dataset comes out at 371.7 meV per atom.

a = 5.907 Å, b = 5.907 Å, c = 5.907 Å
α = 60.00°, β = 60.00°, γ = 60.00°
Atoms (fractional coordinates):
1 F 0.000 0.000 0.000
2 Cs 0.250 0.250 0.250
3 Cs 0.750 0.750 0.750
4 Co 0.500 0.500 0.500

***

[7]
The following is a PBE with a Hubbard U calculation of a geometry-optimized CsCoF2 structure, from the Alexandria database.

## Properties
For the energy, the calculation gives -0.2997 Ry/atom. The energy above the most stable polymorph in this dataset comes out at 196.6 meV per atom.

a = 5.206 Å, b = 5.206 Å, c = 7.274 Å
α = 69.03°, β = 69.03°, γ = 90.00°
Atoms (fractional coordinates):
1 Cs 0.000 0.000 0.000
2 Cs 0.750 0.250 0.500
3 Co 0.250 0.750 0.500
4 Co 0.500 0.500 0.000
5 F 0.375 0.537 0.750
6 F 0.463 0.125 0.250
7 F 0.875 0.713 0.750
8 F 0.287 0.625 0.250

***

[8]
The following is a PBE with a Hubbard U calculation of a geometry-optimized Cs2CoF structure, from the Alexandria database.

## Properties
For the energy, the calculation gives -0.2113 Ry/atom. The energy above the most stable polymorph in this dataset comes out at 0.0 meV per atom.

a = 8.595 Å, b = 8.595 Å, c = 7.866 Å
α = 56.89°, β = 56.89°, γ = 90.00°
Atoms (fractional coordinates):
1 F 0.500 0.500 0.000
2 F 0.250 0.750 0.500
3 Cs 0.875 0.786 0.750
4 Cs 0.375 0.464 0.750
5 Cs 0.536 0.125 0.250
6 Cs 0.214 0.625 0.250
7 Co 0.750 0.250 0.500
8 Co 0.000 0.000 0.000

***

[9]
The following is a PBE with a Hubbard U calculation of a geometry-optimized Cs4CoF6 structure, from the Alexandria database.

## Properties
For the energy, the calculation gives -0.3133 Ry/atom.

a = 8.018 Å, b = 8.018 Å, c = 8.018 Å
α = 91.28°, β = 91.28°, γ = 88.72°
Atoms (fractional coordinates):
1 F 0.567 0.441 0.252
2 F 0.559 0.252 0.567
3 F 0.941 0.067 0.752
4 F 0.252 0.433 0.441
5 F 0.248 0.941 0.933
6 F 0.433 0.559 0.748
7 F 0.752 0.059 0.067
8 F 0.441 0.748 0.433
9 F 0.933 0.752 0.941
10 F 0.059 0.933 0.248
11 F 0.748 0.567 0.559
12 F 0.067 0.248 0.059
13 Cs 0.882 0.250 0.382
14 Cs 0.618 0.882 0.750
15 Cs 0.250 0.250 0.750
16 Cs 0.382 0.118 0.250
17 Cs 0.250 0.618 0.118
18 Cs 0.750 0.750 0.250
19 Cs 0.750 0.382 0.882
20 Cs 0.118 0.750 0.618
21 Co 0.000 0.000 0.000
22 Co 0.500 0.500 0.500

***

[10]
The following is a PBE with a Hubbard U calculation of a geometry-optimized Cs2Co2F7 structure, from the Alexandria database.

## Properties
For the energy, the calculation gives -0.3353 Ry/atom.

a = 5.986 Å, b = 7.047 Å, c = 7.047 Å
α = 105.26°, β = 95.43°, γ = 95.43°
Atoms (fractional coordinates):
1 Cs 0.000 0.300 0.700
2 Cs 0.000 0.700 0.300
3 F 0.745 0.632 0.897
4 F 0.255 0.103 0.368
5 F 0.711 0.339 0.339
6 F 0.500 0.000 0.000
7 F 0.255 0.368 0.103
8 F 0.745 0.897 0.632
9 F 0.289 0.661 0.661
10 Co 0.432 0.214 0.214
11 Co 0.568 0.786 0.786

***

[11]
The following is a PBE with a Hubbard U calculation of a geometry-optimized CsCoF3 structure, from the Alexandria database.

## Properties
For the energy, the calculation gives -0.3414 Ry/atom.

a = 4.096 Å, b = 4.435 Å, c = 10.616 Å
α = 102.06°, β = 101.14°, γ = 90.00°
Atoms (fractional coordinates):
1 Cs 0.158 0.408 0.815
2 Cs 0.842 0.592 0.185
3 F 0.545 0.295 0.590
4 F 0.941 0.191 0.381
5 F 0.347 0.097 0.194
6 F 0.653 0.903 0.806
7 F 0.455 0.705 0.410
8 F 0.059 0.809 0.619
9 Co 0.555 0.805 0.609
10 Co 0.445 0.195 0.391

***

[12]
The following is a PBE with a Hubbard U calculation of a geometry-optimized Cs2CoF4 structure, from the Alexandria database.

## Properties
For the energy, the calculation gives -0.3311 Ry/atom.

a = 6.210 Å, b = 6.743 Å, c = 8.348 Å
α = 90.00°, β = 106.77°, γ = 90.00°
Atoms (fractional coordinates):
1 Co 0.871 0.250 0.241
2 Co 0.129 0.750 0.759
3 F 0.298 0.973 0.713
4 F 0.808 0.750 0.674
5 F 0.195 0.750 0.005
6 F 0.702 0.473 0.287
7 F 0.298 0.527 0.713
8 F 0.192 0.250 0.326
9 F 0.702 0.027 0.287
10 F 0.805 0.250 0.995
11 Cs 0.706 0.750 0.000
12 Cs 0.379 0.750 0.389
13 Cs 0.621 0.250 0.611
14 Cs 0.294 0.250 0.000